Material: RbBaBi2
Method: DFT, PBE-GGA
State: optimized geometry

a b c (Å): 18.3115 5.0894 16.5340
angles (deg): 90.00 90.00 90.00
Closest atoms and distances in Å follow each position.
Space group Pnma (No. 62)
One atom of each set of equivalent atoms:
Rb: 0.0477 0.2500 0.0899 [4 per cell]  4 Bi 3.62-3.81
Rb: 0.2455 0.7500 0.1482 [4 per cell]  3 Bi 3.57-3.85
Ba: 0.0229 0.2500 0.6927 [4 per cell]  5 Bi 3.60-3.75
Ba: 0.2385 0.7500 0.3917 [4 per cell]  6 Bi 3.54-3.74
Bi: 0.0546 0.2500 0.4777 [4 per cell]  3 Bi 3.09-3.32
Bi: 0.1204 0.2500 0.3058 [4 per cell]  1 Bi 3.09
Bi: 0.1441 0.7500 0.9636 [4 per cell]  1 Bi 3.04
Bi: 0.1508 0.7500 0.7798 [4 per cell]  1 Bi 3.04

DOS at the Fermi energy, states/eV/f.u.: 1.296
DFT formation energy, eV per atom: -0.492
Spin magnetization, μB/f.u.: 0.0
Polymorph energy (0 for the lowest one), eV/atom: 0.080

---

Material: RbBaBi2
Method: DFT, PBE-GGA
State: optimized geometry

a b c (Å): 5.4265 5.4265 5.2585
angles (deg): 90.00 90.00 90.00
Closest atoms and distances in Å follow each position.
Space group P4/mmm (No. 123)
One atom of each set of equivalent atoms:
Rb: 0.0000 0.0000 0.0000 [1 per cell]  8 Bi 3.78, 4 Ba 3.84
Ba: 0.5000 0.5000 0.0000 [1 per cell]  8 Bi 3.78, 4 Rb 3.84
Bi: 0.0000 0.5000 0.5000 [2 per cell]  4 Ba 3.78, 4 Rb 3.78, 4 Bi 3.84

DOS at the Fermi energy, states/eV/f.u.: 1.653
DFT formation energy, eV per atom: -0.514
Spin magnetization, μB/f.u.: 0.0
Polymorph energy (0 for the lowest one), eV/atom: 0.058

---

Material: RbBaBi4
Method: DFT, PBE-GGA
State: optimized geometry

a b c (Å): 9.6795 9.6795 9.6795
angles (deg): 90.00 90.00 90.00
Closest atoms and distances in Å follow each position.
Space group F-43m (No. 216)
One atom of each set of equivalent atoms:
Rb: 0.0000 0.0000 0.0000 [4 per cell]  12 Bi 4.01, 4 Ba 4.19
Ba: 0.2500 0.2500 0.2500 [4 per cell]  12 Bi 4.01, 4 Rb 4.19
Bi: 0.1251 0.1251 0.6251 [16 per cell]  6 Bi 3.42

DOS at the Fermi energy, states/eV/f.u.: 6.946
DFT formation energy, eV per atom: -0.413
Spin magnetization, μB/f.u.: 0.0

---

Material: RbBa3Bi
Method: DFT, PBE-GGA
State: optimized geometry

a b c (Å): 6.4487 6.4487 6.4487
angles (deg): 90.00 90.00 90.00
Closest atoms and distances in Å follow each position.
Space group Pm-3m (No. 221)
One atom of each set of equivalent atoms:
Rb: 0.0000 0.0000 0.0000 [1 per cell]  6 Ba 3.22
Ba: 0.0000 0.0000 0.5000 [3 per cell]  2 Rb 3.22
Bi: 0.5000 0.5000 0.5000 [1 per cell]  12 Ba 4.56

DOS at the Fermi energy, states/eV/f.u.: 4.618
DFT formation energy, eV per atom: 0.590
Spin magnetization, μB/f.u.: 2.7
Polymorph energy (0 for the lowest one), eV/atom: 0.909